Model P:
An optimized crystal structure of RbZnN2F, computed with PBE-GGA.

```
RbZnN2F
1.0
4.0633 0.0000 0.0000
0.0000 4.0633 0.0000
0.0000 0.0000 4.8186
Rb Zn N F
1 1 2 1
direct
0.0000 0.0000 0.0000
0.5000 0.5000 0.5000
0.0000 0.5000 0.5000
0.5000 0.0000 0.5000
0.5000 0.5000 0.0000
```

density of states at the Fermi level = 1.24 states/eV/f.u.
crystal system = tetragonal
space-group type = P4/mmm, No. 123
total magnetic moment = 3.49 μB/f.u.



Model Q:
An optimized crystal structure of RbZnN2F, computed with PBE-GGA.

```
RbZnN2F
1.0
5.9760 0.0000 0.0000
0.0000 5.9760 0.0000
0.0000 0.0000 5.0338
Rb Zn N F
1 1 2 1
direct
0.0000 0.0000 0.0000
0.5000 0.5000 0.5000
0.0000 0.5000 0.0000
0.5000 0.0000 0.0000
0.0000 0.0000 0.5000
```

density of states at the Fermi level = 0.75 states/eV/f.u.
crystal system = tetragonal
space-group type = P4/mmm, No. 123
total magnetic moment = 6.00 μB/f.u.



Relative to the most stable one, in eV/atom, the structures come out at model P 0.000; model Q 1.105.



Model P:
An optimized crystal structure of RbZnNF2, computed with PBE-GGA.

```
RbZnNF2
1.0
5.1429 0.0000 0.0000
0.0000 5.1429 0.0000
0.0000 0.0000 5.4507
Rb Zn N F
1 1 1 2
direct
0.0000 0.0000 0.0000
0.5000 0.5000 0.5000
0.0000 0.0000 0.5000
0.0000 0.5000 0.0000
0.5000 0.0000 0.0000
```

density of states at the Fermi level = 3.49 states/eV/f.u.
crystal system = tetragonal
space-group type = P4/mmm, No. 123
total magnetic moment = 1.98 μB/f.u.



Model Q:
An optimized crystal structure of RbZnNF2, computed with PBE-GGA.

```
RbZnNF2
1.0
4.4733 0.0000 0.0000
0.0000 4.4733 0.0000
0.0000 0.0000 3.9714
Rb Zn N F
1 1 1 2
direct
0.0000 0.0000 0.0000
0.5000 0.5000 0.5000
0.5000 0.5000 0.0000
0.0000 0.5000 0.5000
0.5000 0.0000 0.5000
```

density of states at the Fermi level = 0.15 states/eV/f.u.
crystal system = tetragonal
space-group type = P4/mmm, No. 123
total magnetic moment = 2.00 μB/f.u.



Relative to the most stable one, in eV/atom, the structures come out at model P 1.320; model Q 0.000.



Model P:
An optimized crystal structure of RbZrNF2, computed with PBE-GGA.

```
RbZrNF2
1.0
4.4608 0.0000 0.0000
0.0000 4.4608 0.0000
0.0000 0.0000 4.1881
Rb Zr N F
1 1 1 2
direct
0.0000 0.0000 0.0000
0.5000 0.5000 0.5000
0.5000 0.5000 0.0000
0.0000 0.5000 0.5000
0.5000 0.0000 0.5000
```

density of states at the Fermi level = 0.82 states/eV/f.u.
crystal system = tetragonal
space-group type = P4/mmm, No. 123
total magnetic moment = 0.00 μB/f.u.



Model Q:
An optimized crystal structure of RbZrNF2, computed with PBE-GGA.

```
RbZrNF2
1.0
4.6005 0.0000 0.0000
0.0000 4.6005 0.0000
0.0000 0.0000 4.6338
Rb Zr N F
1 1 1 2
direct
0.0000 0.0000 0.0000
0.5000 0.5000 0.5000
0.0000 0.0000 0.5000
0.0000 0.5000 0.0000
0.5000 0.0000 0.0000
```

density of states at the Fermi level = 2.32 states/eV/f.u.
crystal system = tetragonal
space-group type = P4/mmm, No. 123
total magnetic moment = 1.00 μB/f.u.



Relative to the most stable one, in eV/atom, the structures come out at model P 0.000; model Q 2.362.



Model P:
An optimized crystal structure of RbZrN2F, computed with PBE-GGA.

```
RbZrN2F
1.0
4.2624 0.0000 0.0000
0.0000 4.2624 0.0000
0.0000 0.0000 4.5685
Rb Zr N F
1 1 2 1
direct
0.0000 0.0000 0.0000
0.5000 0.5000 0.5000
0.0000 0.5000 0.5000
0.5000 0.0000 0.5000
0.5000 0.5000 0.0000
```

density of states at the Fermi level = 2.95 states/eV/f.u.
crystal system = tetragonal
space-group type = P4/mmm, No. 123
total magnetic moment = 0.83 μB/f.u.



Model Q:
An optimized crystal structure of RbZrN2F, computed with PBE-GGA.

```
RbZrN2F
1.0
4.3799 0.0000 0.0000
0.0000 4.3799 0.0000
0.0000 0.0000 4.3665
Rb Zr N F
1 1 2 1
direct
0.0000 0.0000 0.0000
0.5000 0.5000 0.5000
0.0000 0.5000 0.0000
0.5000 0.0000 0.0000
0.0000 0.0000 0.5000
```

density of states at the Fermi level = 2.16 states/eV/f.u.
crystal system = tetragonal
space-group type = P4/mmm, No. 123
total magnetic moment = 0.00 μB/f.u.



Relative to the most stable one, in eV/atom, the structures come out at model P 0.000; model Q 2.322.



Model P:
An optimized crystal structure of ReN2F, computed with PBE-GGA.

```
ReN2F
1.0
-2.9529 2.9529 4.1854
2.9529 -2.9529 4.1854
2.9529 2.9529 -4.1854
Re N F
2 4 2
direct
0.0000 0.0000 0.0000
0.7500 0.2500 0.5000
0.3750 0.1229 0.2479
0.8729 0.6250 0.7479
0.8750 0.1271 0.7521
0.8771 0.1250 0.2521
0.2500 0.7500 0.5000
0.5000 0.5000 0.0000
```

density of states at the Fermi level = 3.80 states/eV/f.u.
crystal system = tetragonal
space-group type = I-42d, No. 122
total magnetic moment = 0.28 μB/f.u.



Model Q:
An optimized crystal structure of ReN2F, computed with PBE-GGA.

```
ReN2F
1.0
0.0000 2.5786 2.5786
2.5786 0.0000 2.5786
2.5786 2.5786 0.0000
Re N F
1 2 1
direct
0.0000 0.0000 0.0000
0.2500 0.2500 0.2500
0.7500 0.7500 0.7500
0.5000 0.5000 0.5000
```

density of states at the Fermi level = 3.32 states/eV/f.u.
crystal system = cubic
space-group type = Fm-3m, No. 225
total magnetic moment = 0.00 μB/f.u.



Model R:
An optimized crystal structure of ReN2F, computed with PBE-GGA.

```
ReN2F
1.0
1.4791 0.8539 5.8689
-1.4791 0.8539 5.8689
0.0000 -1.7079 5.8689
Re N F
1 2 1
direct
0.0000 0.0000 0.0000
0.3972 0.3972 0.3972
0.6028 0.6028 0.6028
0.5000 0.5000 0.5000
```

density of states at the Fermi level = 1.72 states/eV/f.u.
crystal system = trigonal
space-group type = R-3m, No. 166
total magnetic moment = 0.00 μB/f.u.



Relative to the most stable one, in eV/atom, the structures come out at model P 0.000; model Q 1.110; model R 0.334.



Model P:
An optimized crystal structure of Re2NF, computed with PBE-GGA.

```
Re2NF
1.0
0.0000 2.8140 2.8140
2.8140 0.0000 2.8140
2.8140 2.8140 0.0000
Re N F
2 1 1
direct
0.2500 0.2500 0.2500
0.7500 0.7500 0.7500
0.0000 0.0000 0.0000
0.5000 0.5000 0.5000
```

density of states at the Fermi level = 4.78 states/eV/f.u.
crystal system = cubic
space-group type = Fm-3m, No. 225
total magnetic moment = 0.48 μB/f.u.



Model Q:
An optimized crystal structure of Re2NF, computed with PBE-GGA.

```
Re2NF
1.0
-1.9900 1.9900 6.5880
1.9900 -1.9900 6.5880
1.9900 1.9900 -6.5880
Re N F
4 2 2
direct
0.0557 0.6250 0.9307
0.3750 0.3057 0.4307
0.6943 0.1250 0.0693
0.8750 0.9443 0.5693
0.0000 0.0000 0.0000
0.7500 0.2500 0.5000
0.2500 0.7500 0.5000
0.5000 0.5000 0.0000
```

density of states at the Fermi level = 2.62 states/eV/f.u.
crystal system = tetragonal
space-group type = I-42d, No. 122
total magnetic moment = 0.00 μB/f.u.



Relative to the most stable one, in eV/atom, the structures come out at model P 0.915; model Q 0.000.



Model P:
An optimized crystal structure of ReNF2, computed with PBE-GGA.

```
ReNF2
1.0
-1.5418 1.5418 7.9035
1.5418 -1.5418 7.9035
1.5418 1.5418 -7.9035
Re N F
2 2 4
direct
0.0000 0.0000 0.0000
0.7500 0.2500 0.5000
0.2500 0.7500 0.5000
0.5000 0.5000 0.0000
0.1030 0.6250 0.9780
0.3750 0.3530 0.4780
0.6470 0.1250 0.0220
0.8750 0.8970 0.5220
```

density of states at the Fermi level = 2.46 states/eV/f.u.
crystal system = tetragonal
space-group type = I-42d, No. 122
total magnetic moment = 0.74 μB/f.u.



Model Q:
An optimized crystal structure of ReNF2, computed with PBE-GGA.

```
ReNF2
1.0
0.0000 2.7435 2.7435
2.7435 0.0000 2.7435
2.7435 2.7435 0.0000
Re N F
1 1 2
direct
0.0000 0.0000 0.0000
0.5000 0.5000 0.5000
0.2500 0.2500 0.2500
0.7500 0.7500 0.7500
```

density of states at the Fermi level = 2.49 states/eV/f.u.
crystal system = cubic
space-group type = Fm-3m, No. 225
total magnetic moment = 1.97 μB/f.u.



Relative to the most stable one, in eV/atom, the structures come out at model P 0.000; model Q 0.846.



Model P:
An optimized crystal structure of ReRuNF2, computed with PBE-GGA.

```
ReRuNF2
1.0
4.3173 0.0000 0.0000
0.0000 4.3173 0.0000
0.0000 0.0000 3.7709
Re Ru N F
1 1 1 2
direct
0.0000 0.0000 0.0000
0.5000 0.5000 0.5000
0.5000 0.5000 0.0000
0.0000 0.5000 0.5000
0.5000 0.0000 0.5000
```

density of states at the Fermi level = 2.58 states/eV/f.u.
crystal system = tetragonal
space-group type = P4/mmm, No. 123
total magnetic moment = 5.01 μB/f.u.



Model Q:
An optimized crystal structure of ReRuNF2, computed with PBE-GGA.

```
ReRuNF2
1.0
4.1871 0.0000 0.0000
0.0000 4.1871 0.0000
0.0000 0.0000 3.8377
Re Ru N F
1 1 1 2
direct
0.0000 0.0000 0.0000
0.5000 0.5000 0.5000
0.0000 0.0000 0.5000
0.0000 0.5000 0.0000
0.5000 0.0000 0.0000
```

density of states at the Fermi level = 4.90 states/eV/f.u.
crystal system = tetragonal
space-group type = P4/mmm, No. 123
total magnetic moment = 2.85 μB/f.u.



Relative to the most stable one, in eV/atom, the structures come out at model P 0.371; model Q 0.000.



Model P:
An optimized crystal structure of ReS2NF, computed with PBE-GGA.

```
ReS2NF
1.0
4.3031 0.0000 0.0000
0.0000 4.3031 0.0000
0.0000 0.0000 3.5440
Re S N F
1 2 1 1
direct
0.0000 0.0000 0.0000
0.0000 0.5000 0.5000
0.5000 0.0000 0.5000
0.5000 0.5000 0.0000
0.5000 0.5000 0.5000
```

density of states at the Fermi level = 4.30 states/eV/f.u.
crystal system = tetragonal
space-group type = P4/mmm, No. 123
total magnetic moment = 0.11 μB/f.u.



Model Q:
An optimized crystal structure of ReS2NF, computed with PBE-GGA.

```
ReS2NF
1.0
4.6198 0.0000 0.0000
0.0000 4.6198 0.0000
0.0000 0.0000 3.7913
Re S N F
1 2 1 1
direct
0.0000 0.0000 0.0000
0.0000 0.5000 0.0000
0.5000 0.0000 0.0000
0.0000 0.0000 0.5000
0.5000 0.5000 0.5000
```

density of states at the Fermi level = 4.67 states/eV/f.u.
crystal system = tetragonal
space-group type = P4/mmm, No. 123
total magnetic moment = 0.00 μB/f.u.



Relative to the most stable one, in eV/atom, the structures come out at model P 1.679; model Q 0.000.



Model P:
An optimized crystal structure of ReSNF2, computed with PBE-GGA.

```
ReSNF2
1.0
4.7726 0.0000 0.0000
0.0000 4.7726 0.0000
0.0000 0.0000 3.2322
Re S N F
1 1 1 2
direct
0.0000 0.0000 0.0000
0.5000 0.5000 0.5000
0.5000 0.5000 0.0000
0.0000 0.5000 0.5000
0.5000 0.0000 0.5000
```

density of states at the Fermi level = 1.22 states/eV/f.u.
crystal system = tetragonal
space-group type = P4/mmm, No. 123
total magnetic moment = 4.81 μB/f.u.



Model Q:
An optimized crystal structure of ReSNF2, computed with PBE-GGA.

```
ReSNF2
1.0
4.1838 0.0000 0.0000
0.0000 4.1838 0.0000
0.0000 0.0000 3.8255
Re S N F
1 1 1 2
direct
0.0000 0.0000 0.0000
0.5000 0.5000 0.5000
0.0000 0.0000 0.5000
0.0000 0.5000 0.0000
0.5000 0.0000 0.0000
```

density of states at the Fermi level = 3.51 states/eV/f.u.
crystal system = tetragonal
space-group type = P4/mmm, No. 123
total magnetic moment = 2.28 μB/f.u.



Relative to the most stable one, in eV/atom, the structures come out at model P 1.003; model Q 0.000.



Model P:
An optimized crystal structure of ScReN2F, computed with PBE-GGA.

```
ScReN2F
1.0
4.2078 0.0000 0.0000
0.0000 4.2078 0.0000
0.0000 0.0000 3.8010
Sc Re N F
1 1 2 1
direct
0.0000 0.0000 0.0000
0.5000 0.5000 0.5000
0.0000 0.5000 0.0000
0.5000 0.0000 0.0000
0.0000 0.0000 0.5000
```

density of states at the Fermi level = 1.95 states/eV/f.u.
crystal system = tetragonal
space-group type = P4/mmm, No. 123
total magnetic moment = 3.07 μB/f.u.



Model Q:
An optimized crystal structure of ScReN2F, computed with PBE-GGA.

```
ScReN2F
1.0
3.9268 0.0000 0.0000
0.0000 3.9268 0.0000
0.0000 0.0000 4.0269
Sc Re N F
1 1 2 1
direct
0.0000 0.0000 0.0000
0.5000 0.5000 0.5000
0.0000 0.5000 0.5000
0.5000 0.0000 0.5000
0.5000 0.5000 0.0000
```

density of states at the Fermi level = 2.75 states/eV/f.u.
crystal system = tetragonal
space-group type = P4/mmm, No. 123
total magnetic moment = 0.41 μB/f.u.



Relative to the most stable one, in eV/atom, the structures come out at model P 0.870; model Q 0.000.



Model P:
An optimized crystal structure of ScReNF2, computed with PBE-GGA.

```
ScReNF2
1.0
3.9427 0.0000 0.0000
0.0000 3.9427 0.0000
0.0000 0.0000 4.5722
Sc Re N F
1 1 1 2
direct
0.0000 0.0000 0.0000
0.5000 0.5000 0.5000
0.0000 0.0000 0.5000
0.0000 0.5000 0.0000
0.5000 0.0000 0.0000
```

density of states at the Fermi level = 0.80 states/eV/f.u.
crystal system = tetragonal
space-group type = P4/mmm, No. 123
total magnetic moment = 4.71 μB/f.u.



Model Q:
An optimized crystal structure of ScReNF2, computed with PBE-GGA.

```
ScReNF2
1.0
4.2275 0.0000 0.0000
0.0000 4.2275 0.0000
0.0000 0.0000 3.8675
Sc Re N F
1 1 1 2
direct
0.0000 0.0000 0.0000
0.5000 0.5000 0.5000
0.5000 0.5000 0.0000
0.0000 0.5000 0.5000
0.5000 0.0000 0.5000
```

density of states at the Fermi level = 4.39 states/eV/f.u.
crystal system = tetragonal
space-group type = P4/mmm, No. 123
total magnetic moment = 0.72 μB/f.u.



Relative to the most stable one, in eV/atom, the structures come out at model P 0.000; model Q 0.087.